# Y2TlGa

Y2TlGa after structural relaxation (PBE, Alexandria via LeMat-Bulk).

For the formation energy, the calculation gives -0.167 eV/atom. As for the calculated density: 6.682 g/cm3. For the total magnetization, the calculation gives 0.0 Bohr magnetons per cell. As for the distance to the lowest polymorph of the same formula: 0.318 eV per atom.

The structure belongs to space group I-42d (No. 122); the cell edges are 8.078, 8.078 and 6.884 Å and the angles 90.00°, 90.00° and 90.00°. The distinct sites, in fractional coordinates, are Y at (0.230, 0.250, 0.125), Tl at (0.000, 0.000, 0.500) and Ga at (0.000, 0.000, 0.000).